# 1
CaLaGe (PBE, relaxed); energy of formation from the pure elements = -391 meV per atom; density of states at the Fermi level = 2.26 states/eV per cell; magnetic moment = 0.220 μB/atom
1.0
4.8641 0.0000 0.0000
-2.4320 4.2124 0.0000
0.0000 0.0000 4.4413
Ca La Ge
1 1 1
direct
0.0000 0.0000 0.0000
0.3333 0.6667 0.4809
0.6667 0.3333 0.8468

# 2
BaZrCl2 (PBE, relaxed); density of states at the Fermi level = 3.38 states/eV per cell; ΔE to the lowest computed polymorph = 0.000 eV per atom; magnetic moment = 0.000 μB/atom; ΔE_f (raw) = -1.063 eV/atom
1.0
3.7780 0.0000 0.0000
0.0000 3.7780 0.0000
0.0000 0.0000 7.5160
Ba Zr Cl
1 1 2
direct
0.0000 0.0000 0.0000
0.5000 0.5000 0.6216
0.0000 0.0000 0.5416
0.5000 0.5000 0.2559

# 3
As2WIBr (PBE, relaxed); density of states at the Fermi level = 4.29 states/eV per cell; ΔE to the lowest computed polymorph = 1.633 eV per atom; magnetic moment = 0.579 μB/atom; ΔE_f (raw) = 2.017 eV/atom
1.0
5.4242 0.0000 0.0000
0.0000 5.4242 0.0000
0.0000 0.0000 5.4284
As W I Br
2 1 1 1
direct
0.0000 0.5000 0.0000
0.5000 0.0000 0.0000
0.0000 0.0000 0.5000
0.5000 0.5000 0.0000
0.5000 0.5000 0.5000

# 4
Tb2DyRh2 (PBE, relaxed); energy of formation from the pure elements = -614 meV per atom; density of states at the Fermi level = 6.45 states/eV per cell; ΔE to the lowest computed polymorph = 0.085 eV per atom; magnetic moment = 0.000 μB/atom
1.0
1.8931 -13.2130 0.0000
1.8931 13.2130 0.0000
0.0000 0.0000 4.6442
Tb Dy Rh
4 2 4
direct
0.0520 0.9480 0.7500
0.2658 0.7342 0.2500
0.7342 0.2658 0.7500
0.9480 0.0520 0.2500
0.3634 0.6366 0.7500
0.6366 0.3634 0.2500
0.1600 0.8400 0.7500
0.4666 0.5334 0.7500
0.5334 0.4666 0.2500
0.8400 0.1600 0.2500

# 5
Cs2Cd4Ag2Au (PBE, relaxed); energy of formation from the pure elements = -77 meV per atom; density of states at the Fermi level = 4.13 states/eV per cell; magnetic moment = 0.000 μB/atom
1.0
7.1636 -2.9155 0.0000
7.1636 2.9155 0.0000
-1.2475 0.0000 6.7906
Cs Cd Ag Au
2 4 2 1
direct
0.1587 0.1587 0.4039
0.8413 0.8413 0.5961
0.1803 0.6724 0.1332
0.3276 0.8197 0.8668
0.6724 0.1803 0.1332
0.8197 0.3276 0.8668
0.2519 0.2519 0.9702
0.7481 0.7481 0.0298
0.5000 0.5000 0.5000

# 6
NaIn14Bi (PBE, relaxed); energy of formation from the pure elements = -8 meV per atom; density of states at the Fermi level = 7.19 states/eV per cell; magnetic moment = 0.000 μB/atom
1.0
7.0805 0.0000 0.0000
0.0000 7.0805 0.0000
0.0000 0.0000 8.7754
Na In Bi
1 14 1
direct
0.0000 0.0000 0.0000
0.0000 0.0000 0.5000
0.0000 0.5000 0.0000
0.0000 0.5000 0.5000
0.2495 0.2495 0.2542
0.2495 0.2495 0.7458
0.2495 0.7505 0.2542
0.2495 0.7505 0.7458
0.5000 0.0000 0.0000
0.5000 0.0000 0.5000
0.5000 0.5000 0.5000
0.7505 0.2495 0.2542
0.7505 0.2495 0.7458
0.7505 0.7505 0.2542
0.7505 0.7505 0.7458
0.5000 0.5000 0.0000

# 7
LaCd2GaW (PBE, relaxed); energy of formation from the pure elements = 1595 meV per atom; density of states at the Fermi level = 4.76 states/eV per cell; magnetic moment = 0.157 μB/atom
1.0
6.0750 0.0000 0.0000
0.0000 6.0750 0.0000
0.0000 0.0000 4.9849
La Cd Ga W
1 2 1 1
direct
0.0000 0.0000 0.0000
0.0000 0.5000 0.0000
0.5000 0.0000 0.0000
0.5000 0.5000 0.5000
0.0000 0.0000 0.5000

# 8
YCo4Pd (PBE, relaxed); energy of formation from the pure elements = -149 meV per atom; density of states at the Fermi level = 6.69 states/eV per cell; magnetic moment = 1.092 μB/atom
1.0
0.0000 3.4893 3.4893
3.4893 0.0000 3.4893
3.4893 3.4893 0.0000
Y Co Pd
1 4 1
direct
0.0000 0.0000 0.0000
0.1281 0.6240 0.6240
0.6240 0.1281 0.6240
0.6240 0.6240 0.1281
0.6240 0.6240 0.6240
0.2500 0.2500 0.2500